## Li5Mg8Pd (PBE-GGA)

Data for a relaxed Li5Mg8Pd crystal.

Energy of formation from the pure elements   -0.07 eV per atom
E_tot   -28.49 eV for the cell shown

a = 7.283 Å, b = 7.283 Å, c = 7.283 Å
α = 111.38°, β = 105.73°, γ = 111.38°
Fractional positions:
1 Li 0.929 0.398 0.104
2 Li 0.896 0.825 0.293
3 Li 0.707 0.602 0.532
4 Li 0.500 0.000 0.500
5 Li 0.468 0.175 0.071
6 Mg 0.078 0.741 0.965
7 Mg 0.035 0.113 0.776
8 Mg 0.834 0.249 0.435
9 Mg 0.565 0.399 0.814
10 Mg 0.415 0.601 0.166
11 Mg 0.662 0.887 0.922
12 Mg 0.224 0.259 0.338
13 Mg 0.186 0.751 0.585
14 Pd 0.250 0.500 0.750

---

## GdScRuRh (PBE-GGA)

Data for a relaxed GdScRuRh crystal.

Energy of formation from the pure elements   -0.64 eV per atom
E_tot   -39.60 eV for the cell shown

a = 4.714 Å, b = 4.714 Å, c = 4.714 Å
α = 60.00°, β = 60.00°, γ = 60.00°
Each line ends with the local moment (μB).
Fractional positions:
1 Sc 0.500 0.500 0.500  0.04
2 Ru 0.750 0.750 0.750  -0.02
3 Gd 0.000 0.000 0.000  7.02
4 Rh 0.250 0.250 0.250  -0.02

---

## Tb5Nd4Al (PBE-GGA)

Data for a relaxed Tb5Nd4Al crystal.

Energy of formation from the pure elements   0.08 eV per atom
Energy relative to the lowest polymorph listed for this composition   140 meV/atom
E_tot   -45.19 eV for the cell shown

a = 5.752 Å, b = 8.121 Å, c = 8.121 Å
α = 82.80°, β = 69.26°, γ = 69.26°
Fractional positions:
1 Tb 0.782 0.364 0.000
2 Tb 0.146 0.000 0.636
3 Tb 0.782 0.000 0.364
4 Tb 0.146 0.636 0.000
5 Tb 0.654 0.000 0.000
6 Nd 0.458 0.310 0.690
7 Nd 0.768 0.690 0.690
8 Nd 0.147 0.310 0.310
9 Nd 0.458 0.690 0.310
10 Al 0.170 0.000 0.000

---

## Li3H4Pd4 (PBE-GGA)

Data for a relaxed Li3H4Pd4 crystal.

Energy relative to the lowest polymorph listed for this composition   31 meV/atom
E_tot   -42.95 eV for the cell shown

a = 3.815 Å, b = 4.610 Å, c = 7.820 Å
α = 90.00°, β = 90.00°, γ = 114.44°
Fractional positions:
1 Li 0.374 0.749 0.330
2 Li 0.374 0.749 0.670
3 Li 0.275 0.551 0.000
4 H 0.606 0.211 0.751
5 H 0.606 0.211 0.249
6 H 0.149 0.298 0.500
7 H 0.035 0.071 0.000
8 Pd 0.654 0.308 0.500
9 Pd 0.561 0.123 0.000
10 Pd 0.082 0.163 0.746
11 Pd 0.082 0.163 0.254

---

## EuCd2Sb (PBE-GGA)

Data for a relaxed EuCd2Sb crystal.

Energy relative to the lowest polymorph listed for this composition   0 meV/atom
E_tot   -18.07 eV for the cell shown

a = 5.137 Å, b = 4.540 Å, c = 4.540 Å
α = 90.00°, β = 90.00°, γ = 90.00°
Each line ends with the local moment (μB).
Fractional positions:
1 Eu 0.500 0.500 0.500  6.76
2 Sb 0.500 0.000 0.000  -0.04
3 Cd 0.000 0.000 0.500  0.00
4 Cd 0.000 0.500 0.000  0.00

---

## Tc2Ni2Rh3 (PBE-GGA)

Data for a relaxed Tc2Ni2Rh3 crystal.

Energy of formation from the pure elements   0.10 eV per atom
E_tot   -53.67 eV for the cell shown

a = 4.073 Å, b = 2.673 Å, c = 9.099 Å
α = 90.00°, β = 77.07°, γ = 90.00°
Each line ends with the local moment (μB).
Fractional positions:
1 Tc 0.709 0.500 0.581  -0.02
2 Tc 0.291 0.500 0.419  -0.02
3 Ni 0.570 0.500 0.860  0.41
4 Ni 0.430 0.500 0.140  0.41
5 Rh 0.851 0.000 0.299  0.05
6 Rh 0.000 0.000 0.000  0.63
7 Rh 0.149 0.000 0.701  0.05

---

## Rb2Hg2RhCl4 (PBE-GGA)

Data for a relaxed Rb2Hg2RhCl4 crystal.

E_tot   -26.63 eV for the cell shown

a = 6.949 Å, b = 6.949 Å, c = 6.949 Å
α = 105.73°, β = 111.37°, γ = 111.37°
Fractional positions:
1 Rb 0.500 0.750 0.250
2 Rb 0.500 0.250 0.750
3 Hg 0.000 0.672 0.672
4 Hg 0.000 0.328 0.328
5 Rh 0.000 0.000 0.000
6 Cl 0.000 0.785 0.215
7 Cl 0.569 0.785 0.785
8 Cl 0.000 0.215 0.785
9 Cl 0.431 0.215 0.215

---

## TbHf2Th (PBE-GGA)

Data for a relaxed TbHf2Th crystal.

Energy of formation from the pure elements   0.22 eV per atom
Energy relative to the lowest polymorph listed for this composition   50 meV/atom
E_tot   -31.06 eV for the cell shown

a = 3.377 Å, b = 3.377 Å, c = 11.018 Å
α = 81.19°, β = 81.19°, γ = 60.00°
Fractional positions:
1 Tb 0.000 0.000 0.000
2 Hf 0.249 0.249 0.254
3 Hf 0.751 0.751 0.746
4 Th 0.500 0.500 0.500